1.
Material: AcZn9Cd2
Method: DFT, GGA-PBE
State: relaxed

Cell and atoms, written as extended XYZ:
```
12
Lattice="2.750 1.588 8.451 -2.750 1.588 8.451 0.000 -3.175 8.451" Properties=species:S:1:pos:R:3 pbc="T T T"
Ac 0.000 0.000 0.000
Zn -1.397 -0.806 10.643
Zn 0.000 0.000 8.447
Zn 0.000 -1.613 14.708
Zn -1.397 0.806 14.708
Zn 0.000 0.000 12.676
Zn 1.397 -0.806 10.644
Zn 0.000 1.613 10.644
Zn 0.000 0.000 16.904
Zn 1.397 0.806 14.708
Cd 0.000 0.000 3.554
Cd 0.000 0.000 21.798
```

Computed properties:
- calculated total energy (hartree per atom) = -0.0571
- space-group type = R-3m (166)
- total moment (μB per atom) = 0.00

2.
Material: Ac5Zn2Cd2
Method: DFT, GGA-PBE
State: relaxed

Cell and atoms, written as extended XYZ:
```
18
Lattice="9.377 -4.045 0.000 9.377 4.045 0.000 0.000 0.000 8.192" Properties=species:S:1:pos:R:3 pbc="T T T"
Ac 0.000 0.000 0.000
Ac 6.853 2.540 5.595
Ac 6.853 1.504 1.499
Ac 11.902 2.540 5.595
Ac 11.902 1.504 1.499
Ac 9.377 0.000 4.096
Ac 6.853 -1.504 6.694
Ac 6.853 -2.540 2.598
Ac 11.902 -1.504 6.694
Ac 11.902 -2.540 2.598
Zn 9.377 3.144 3.163
Zn 9.377 0.900 7.259
Zn 9.377 -0.900 0.933
Zn 9.377 -3.144 5.029
Cd 4.210 0.000 0.000
Cd 5.167 0.000 4.096
Cd 13.588 0.000 4.096
Cd 14.544 0.000 0.000
```

Computed properties:
- calculated total energy (hartree per atom) = -0.1083
- space-group type = Cmce (64)
- total moment (μB per atom) = 0.00

3.
Material: AcZn3Cd3
Method: DFT, GGA-PBE
State: relaxed

Cell and atoms, written as extended XYZ:
```
14
Lattice="8.833 0.000 0.000 0.000 4.760 0.000 -4.395 0.000 7.684" Properties=species:S:1:pos:R:3 pbc="T T T"
Ac 0.012 1.190 2.558
Ac 4.426 3.570 5.126
Zn -2.323 1.190 4.672
Zn 0.655 3.570 0.521
Zn 1.438 3.570 4.141
Zn 3.000 1.190 3.543
Zn 3.783 1.190 7.163
Zn 6.762 3.570 3.012
Cd -2.054 1.190 7.454
Cd -0.831 3.570 5.761
Cd 3.186 3.570 1.699
Cd 1.252 1.190 5.985
Cd 5.270 1.190 1.923
Cd 6.492 3.570 0.230
```

Computed properties:
- calculated total energy (hartree per atom) = -0.0583
- space-group type = P2_1/m (11)
- total moment (μB per atom) = 0.00

4.
Material: AcZnCd3
Method: DFT, GGA-PBE
State: relaxed

Cell and atoms, written as extended XYZ:
```
20
Lattice="9.086 0.000 0.000 0.000 4.674 0.000 0.000 0.000 12.041" Properties=species:S:1:pos:R:3 pbc="T T T"
Ac 1.756 1.169 0.042
Ac 2.787 3.506 6.062
Ac 6.299 1.169 5.979
Ac 7.330 3.506 12.000
Zn 0.983 1.169 7.577
Zn 3.560 3.506 1.556
Zn 5.526 1.169 10.485
Zn 8.103 3.506 4.464
Cd 0.632 1.169 4.775
Cd 1.007 3.506 2.563
Cd 1.173 3.506 9.559
Cd 3.370 1.169 3.538
Cd 3.536 1.169 8.584
Cd 3.911 3.506 10.796
Cd 5.175 1.169 1.245
Cd 5.550 3.506 3.457
Cd 5.716 3.506 8.503
Cd 7.913 1.169 2.483
Cd 8.079 1.169 9.478
Cd 8.454 3.506 7.266
```

Computed properties:
- calculated total energy (hartree per atom) = -0.0682
- space-group type = Pnma (62)
- total moment (μB per atom) = 0.00

5.
Material: Ac2Zn4Cd3
Method: DFT, GGA-PBE
State: relaxed

Cell and atoms, written as extended XYZ:
```
18
Lattice="3.182 -8.354 0.000 3.182 8.354 0.000 0.000 0.000 8.149" Properties=species:S:1:pos:R:3 pbc="T T T"
Ac 3.182 6.504 7.416
Ac 3.182 1.850 3.342
Ac 3.182 -1.850 4.807
Ac 3.182 -6.504 0.733
Zn 3.182 5.455 4.215
Zn 1.591 0.948 6.111
Zn 1.591 -0.948 2.037
Zn 3.182 2.899 0.140
Zn 3.182 -2.899 8.008
Zn 4.773 0.948 6.111
Zn 4.773 -0.948 2.037
Zn 3.182 -5.455 3.934
Cd 0.000 0.000 4.074
Cd 1.591 3.737 6.111
Cd 1.591 -3.737 2.037
Cd 3.182 0.000 0.000
Cd 4.773 3.737 6.111
Cd 4.773 -3.737 2.037
```

Computed properties:
- calculated total energy (hartree per atom) = -0.0734
- space-group type = Cmce (64)
- total moment (μB per atom) = 0.00

6.
Material: AcZn3Cd9
Method: DFT, GGA-PBE
State: relaxed

Cell and atoms, written as extended XYZ:
```
13
Lattice="2.923 -6.976 0.000 2.923 6.976 0.000 -2.840 0.000 6.968" Properties=species:S:1:pos:R:3 pbc="T T T"
Ac 0.000 0.000 0.000
Zn 1.462 3.488 0.000
Zn 1.462 -3.488 0.000
Zn 1.503 0.000 3.484
Cd -1.420 0.000 3.484
Cd 0.061 2.473 2.417
Cd 0.107 1.556 5.462
Cd 0.061 -2.473 2.417
Cd 2.899 1.556 1.506
Cd 0.107 -1.556 5.462
Cd 2.945 2.473 4.551
Cd 2.899 -1.556 1.506
Cd 2.945 -2.473 4.551
```

Computed properties:
- calculated total energy (hartree per atom) = -0.0506
- space-group type = C2/m (12)
- total moment (μB per atom) = 0.00